A relaxed structure of Sm4Al3Zn, computed with GGA-PBE.

Geometry as CIF:
```
data_Sm4Al3Zn
_cell_length_a 3.756
_cell_length_b 4.531
_cell_length_c 11.993
_cell_angle_alpha 90.00
_cell_angle_beta 90.00
_cell_angle_gamma 90.00
_space_group_name_H-M_alt 'P 1'
_space_group_IT_number 1
loop_
_space_group_symop_operation_xyz
'x,y,z'
loop_
_atom_site_label
_atom_site_type_symbol
_atom_site_fract_x
_atom_site_fract_y
_atom_site_fract_z
_atom_site_occupancy
Sm1 Sm 0.000 0.000 0.000 1
Sm2 Sm 0.000 0.500 0.305 1
Sm3 Sm 0.500 0.000 0.495 1
Sm4 Sm 0.500 0.500 0.807 1
Al1 Al 0.000 0.000 0.716 1
Al2 Al 0.000 0.500 0.586 1
Al3 Al 0.500 0.500 0.089 1
Zn1 Zn 0.500 0.000 0.217 1
```

Results
Its formation enthalpy at 0 K is -0.33 eV/atom. The space-group type is Pmm2, No. 25.